Record 1
Below is an optimized crystal structure of Ni2AgHg, with properties calculated at the GGA-PBE level.

Output
The value obtained for the total magnetization is 0.00 μB/f.u. As for the density of states at the Fermi level: 3.43 states/eV per cell. The calculated formation energy is 0.360 eV/atom. Its calculated volume is 61.7 Å³ per cell.

Cell: 8.769 8.769 8.769 Å, 18.88 18.88 18.88°
Positions (direct):
Ag 0.250 0.250 0.250
Hg 0.750 0.750 0.750
Ni 0.999 0.999 0.999
Ni 0.501 0.501 0.501

***

Record 2
Below is an optimized crystal structure of Zn2CrIr2, with properties calculated at the GGA-PBE level.

Output
The value obtained for the total magnetization is 2.88 μB/f.u. As for the density of states at the Fermi level: 8.40 states/eV per cell. The calculated formation energy is 0.116 eV/atom. Its calculated volume is 157.2 Å³ per cell. The calculation puts the energy above the lowest structure with this stoichiometry at 1.58 eV per formula unit.

Cell: 6.432 6.432 3.799 Å, 90.00 90.00 90.00°
Each line ends with the local moment (μB).
Positions (direct):
Cr 0.000 0.000 0.000  2.67
Cr 0.500 0.500 0.000  2.67
Zn 0.166 0.666 0.500  0.00
Zn 0.666 0.834 0.500  0.00
Zn 0.834 0.334 0.500  0.00
Zn 0.334 0.166 0.500  0.00
Ir 0.361 0.861 0.000  -0.03
Ir 0.861 0.639 0.000  -0.03
Ir 0.639 0.139 0.000  -0.03
Ir 0.139 0.361 0.000  -0.03

***

Record 3
Below is an optimized crystal structure of NaPmInPd, with properties calculated at the GGA-PBE level.

Output
The value obtained for the total magnetization is 0.00 μB/f.u. As for the density of states at the Fermi level: 5.92 states/eV per cell. The calculated formation energy is -0.390 eV/atom. Its calculated volume is 89.0 Å³ per cell.

Cell: 5.012 5.012 5.012 Å, 60.00 60.00 60.00°
Positions (direct):
Na 0.000 0.000 0.000
In 0.250 0.250 0.250
Pd 0.500 0.500 0.500
Pm 0.750 0.750 0.750

***

Record 4
Below is an optimized crystal structure of Ac3PbSO, with properties calculated at the GGA-PBE level.

Output
The value obtained for the total magnetization is 0.00 μB/f.u. As for the density of states at the Fermi level: 6.34 states/eV per cell. Its calculated volume is 393.1 Å³ per cell. The calculation puts the raw formation energy at -1.7602 eV/atom.

Cell: 4.403 9.373 9.783 Å, 103.17 90.00 90.00°
Positions (direct):
Ac 0.750 0.890 0.144
Ac 0.250 0.110 0.856
Ac 0.250 0.827 0.476
Ac 0.750 0.173 0.524
Ac 0.750 0.429 0.164
Ac 0.250 0.571 0.836
Pb 0.250 0.182 0.232
Pb 0.750 0.818 0.768
S 0.250 0.658 0.155
S 0.750 0.342 0.845
O 0.250 0.087 0.596
O 0.750 0.913 0.404

***

Record 5
Below is an optimized crystal structure of ThNb4Si4, with properties calculated at the GGA-PBE level.

Output
The value obtained for the total magnetization is 0.00 μB/f.u. As for the density of states at the Fermi level: 10.38 states/eV per cell. Its calculated volume is 358.7 Å³ per cell. The calculation puts the raw formation energy at -0.3930 eV/atom.

Cell: 5.008 8.463 8.463 Å, 90.00 90.00 90.00°
Positions (direct):
Th 0.000 0.000 0.000
Th 0.500 0.500 0.500
Nb 0.375 0.370 0.867
Nb 0.875 0.633 0.870
Nb 0.375 0.630 0.133
Nb 0.125 0.130 0.633
Nb 0.625 0.867 0.630
Nb 0.125 0.870 0.367
Nb 0.875 0.367 0.130
Nb 0.625 0.133 0.370
Si 0.615 0.834 0.323
Si 0.615 0.166 0.677
Si 0.115 0.823 0.666
Si 0.885 0.334 0.823
Si 0.885 0.666 0.177
Si 0.385 0.323 0.166
Si 0.385 0.677 0.834
Si 0.115 0.177 0.334

***

Record 6
Below is an optimized crystal structure of MnHg2, with properties calculated at the GGA-PBE level.

Output
The value obtained for the total magnetization is 3.92 μB/f.u. As for the density of states at the Fermi level: 3.43 states/eV per cell. The calculated formation energy is 0.323 eV/atom. Its calculated volume is 127.0 Å³ per cell.

Cell: 9.049 9.049 4.519 Å, 90.00 90.00 159.92°
Each line ends with the local moment (μB).
Positions (direct):
Mn 0.765 0.235 0.500  3.78
Mn 0.130 0.870 0.500  3.80
Hg 0.014 0.986 0.000  -0.01
Hg 0.323 0.677 0.000  -0.03
Hg 0.667 0.333 0.000  -0.05
Hg 0.434 0.566 0.500  0.01